Density functional theory data (GGA-PBE) for a relaxed RbCoH2N crystal.

Cell lengths 3.5698, 3.5698, 5.5980 Å; angles 90.00, 90.00, 90.00 degrees
With the nearest neighbours (Å) after each atom.
Space group P4/mmm (No. 123)
Unique sites:
Rb1 0.0000 0.0000 0.0000  4 H 1.78
Co1 0.5000 0.5000 0.5000  4 N 2.52
H1 0.0000 0.5000 0.0000  2 Rb 1.78
N1 0.0000 0.0000 0.5000  4 Co 2.52, 2 Rb 2.80

Values from the calculation:
The total energy is -2.448 eV per atom. The volume is 71.3 Å³/cell.